The following is a DFT calculation (PBE) of a geometry-optimized Sr6MgCd structure.

abc: 5.8977 5.8977 20.6438
angles: 90.00 90.00 90.00
Closest atoms and distances in Å follow each position.
Space group I4/mmm (No. 139)
Asymmetric unit:
Sr (0.0000, 0.0000, 0.2488) (multiplicity 4)  12 Sr 4.17-4.34
Sr (0.0000, 0.5000, 0.0973) (multiplicity 8)  2 Cd 3.57, 2 Mg 3.57
Mg (0.0000, 0.0000, 0.0000) (multiplicity 2)  8 Sr 3.57
Cd (0.0000, 0.0000, 0.5000) (multiplicity 2)  8 Sr 3.57

energy: -0.0613 hartree per atom
formation energy: -0.093 eV/atom
total magnetic moment: 0.00 μB/cell